Entry 1:
Compound: Te2Se2I
Source: Alexandria
Functional: SCAN
Structure: single point on PBEsol structure

Unit cell a=6.738 b=6.738 c=6.738 alpha=133.94 beta=133.94 gamma=67.18
Positions (direct):
Te 0.250 0.750 0.500
Te 0.750 0.250 0.500
Se 0.165 0.165 0.000
Se 0.835 0.835 0.000
I 0.500 0.500 0.000

Values from the calculation:
Formation energy from raw total energies (meV/atom): 203
SG: No. 139

---

Entry 2:
Compound: Ti3SeI
Source: Alexandria
Functional: SCAN
Structure: single point on PBEsol structure

Unit cell a=4.941 b=4.941 c=4.941 alpha=90.00 beta=90.00 gamma=90.00
Positions (direct):
Ti 0.000 0.000 0.500
Ti 0.000 0.500 0.000
Ti 0.500 0.000 0.000
Se 0.500 0.500 0.500
I 0.000 0.000 0.000

Values from the calculation:
Formation energy from raw total energies (meV/atom): 937
SG: No. 221

---

Entry 3:
Compound: Ti3SeI
Source: Alexandria
Functional: SCAN
Structure: single point on PBEsol structure

Unit cell a=4.725 b=4.725 c=4.725 alpha=90.00 beta=90.00 gamma=90.00
Positions (direct):
Ti 0.000 0.000 0.500
Ti 0.000 0.500 0.000
Ti 0.500 0.000 0.000
Se 0.000 0.000 0.000
I 0.500 0.500 0.500

Values from the calculation:
Formation energy from raw total energies (meV/atom): 230
SG: No. 221